First-principles (PBE) data for a relaxed TlIn3 crystal, as listed in Alexandria.

Output
ρ = 8.06 g/cm³
Raw total energy = -10.5 eV/f.u.
Space group = Fm-3m, No. 225
ΔH_f (0 K) = 0.013 eV per atom
Magnetic moment = 0.000 μB/atom
DOS(E_F) = 1.30 states/eV/f.u.

abc: 5.429 5.429 5.429
angles: 60.00 60.00 60.00
Fractional positions:
Tl 0.000 0.000 0.000
In 0.250 0.250 0.250
In 0.500 0.500 0.500
In 0.750 0.750 0.750